one | Material: Ba2SrI6
Method: DFT, SCAN
State: single point on PBEsol structure

```
Ba2SrI6
1.0
-0.9917 -2.5089 -7.6459
-11.1035 -6.1233 3.4494
-0.3734 12.4950 -4.0516
I Ba Sr
18 6 3
direct
0.6689 0.1287 0.5426 I
0.6689 0.4138 0.8713 I
0.7479 0.1747 0.2076 I
0.1561 0.5500 0.7229 I
0.2521 0.8253 0.0329 I
0.3311 0.8713 0.4138 I
0.2521 0.2076 0.1747 I
0.8439 0.4500 0.1729 I
0.6689 0.4574 0.5862 I
0.7479 0.7924 0.9671 I
0.8439 0.8271 0.2771 I
0.3311 0.5426 0.1287 I
0.3311 0.5862 0.4574 I
0.1561 0.2771 0.8271 I
0.1561 0.1729 0.4500 I
0.8439 0.7229 0.5500 I
0.7479 0.0329 0.8253 I
0.2521 0.9671 0.7924 I
0.0000 0.4124 0.4124 Ba
0.5000 0.0000 0.2670 Ba
0.5000 0.2670 0.0000 Ba
0.5000 0.7330 0.7330 Ba
0.0000 0.0000 0.5876 Ba
0.0000 0.5876 0.0000 Ba
0.5993 0.6667 0.3333 Sr
0.0000 0.0000 0.0000 Sr
0.4007 0.3333 0.6667 Sr
```


two | Material: Ba2SrI6
Method: DFT, SCAN
State: single point on PBEsol structure

```
Ba2SrI6
1.0
-5.4017 5.0832 3.2215
3.1915 -1.2505 7.3244
15.3731 18.5723 -3.5278
Ba Sr I
8 4 24
direct
0.5000 0.0000 0.1651 Ba
0.0000 0.5000 0.1651 Ba
0.5000 0.0000 0.8349 Ba
0.0000 0.5000 0.8349 Ba
0.5000 0.5000 0.3347 Ba
0.0000 0.0000 0.3347 Ba
0.0000 0.0000 0.6653 Ba
0.5000 0.5000 0.6653 Ba
0.5000 0.0000 0.5000 Sr
0.0000 0.5000 0.5000 Sr
0.0000 0.0000 0.0000 Sr
0.5000 0.5000 0.0000 Sr
0.7507 0.2500 0.5800 I
0.2506 0.2506 0.0800 I
0.2500 0.7503 0.2499 I
0.2493 0.7500 0.5800 I
0.2494 0.7506 0.0800 I
0.7494 0.7494 0.0800 I
0.7503 0.7500 0.7501 I
0.2500 0.7493 0.4200 I
0.7500 0.2497 0.2499 I
0.2507 0.2500 0.5800 I
0.2500 0.2493 0.4200 I
0.2500 0.2503 0.2499 I
0.7494 0.2506 0.9200 I
0.2494 0.2494 0.9200 I
0.2503 0.7500 0.7501 I
0.7506 0.2494 0.0800 I
0.2506 0.7494 0.9200 I
0.7493 0.7500 0.5800 I
0.7497 0.2500 0.7501 I
0.2497 0.2500 0.7501 I
0.7500 0.7507 0.4200 I
0.7500 0.2507 0.4200 I
0.7500 0.7497 0.2499 I
0.7506 0.7506 0.9200 I
```


Going by the energies, two is most stable and the next is 20 meV per atom up.


one | Material: Ba2SrI6
Method: DFT, SCAN
State: single point on PBEsol structure

```
Ba2SrI6
1.0
8.2028 0.0000 0.0000
0.0000 8.1717 0.3487
-4.1014 -1.8005 12.0563
I Sr Ba
12 2 4
direct
0.7488 0.4928 0.4956 I
0.7468 0.9928 0.4956 I
0.9525 0.5812 0.8349 I
0.3733 0.0014 0.8335 I
0.2512 0.5072 0.5044 I
0.4601 0.5014 0.8335 I
0.6267 0.9986 0.1665 I
0.0475 0.4188 0.1651 I
0.2532 0.0072 0.5044 I
0.1176 0.9188 0.1651 I
0.5399 0.4986 0.1665 I
0.8824 0.0812 0.8349 I
0.6945 0.2500 0.0000 Sr
0.3055 0.7500 0.0000 Sr
0.5943 0.7748 0.6677 Ba
0.9265 0.7252 0.3323 Ba
0.0735 0.2748 0.6677 Ba
0.4057 0.2252 0.3323 Ba
```


two | Material: Ba2SrI6
Method: DFT, SCAN
State: single point on PBEsol structure

```
Ba2SrI6
1.0
-2.5047 5.2097 5.2822
-0.8202 -5.7354 5.2678
14.4625 2.2197 4.6686
I Ba Sr
12 4 2
direct
0.6925 0.6925 0.1595 I
0.7951 0.2049 0.0000 I
0.2049 0.7951 0.0000 I
0.1925 0.8075 0.3405 I
0.8075 0.1925 0.6595 I
0.7049 0.7049 0.5000 I
0.8075 0.1925 0.3405 I
0.3075 0.3075 0.8405 I
0.6925 0.6925 0.8405 I
0.3075 0.3075 0.1595 I
0.1925 0.8075 0.6595 I
0.2951 0.2951 0.5000 I
0.5000 0.5000 0.3336 Ba
0.0000 0.0000 0.8336 Ba
0.0000 0.0000 0.1664 Ba
0.5000 0.5000 0.6664 Ba
0.0000 0.0000 0.5000 Sr
0.5000 0.5000 0.0000 Sr
```


three | Material: Ba2SrI6
Method: DFT, SCAN
State: single point on PBEsol structure

```
Ba2SrI6
1.0
4.9186 0.0000 0.0000
0.0000 9.0450 0.0000
0.0000 -4.5225 7.8332
I Ba Sr
6 2 1
direct
0.5000 0.0000 0.2500 I
0.5000 0.2500 0.0000 I
0.0000 0.0000 0.5942 I
0.0000 0.5942 0.0000 I
0.5000 0.7500 0.7500 I
0.0000 0.4058 0.4058 I
0.5000 0.3333 0.6667 Ba
0.5000 0.6667 0.3333 Ba
0.0000 0.0000 0.0000 Sr
```


Going by the energies, three is most stable and the next is 13 meV per atom up.


one | Material: Ba3In2WO9
Method: DFT, SCAN
State: single point on PBEsol structure

```
Ba3In2WO9
1.0
-3.4482 0.0537 -4.7677
0.0999 -8.3231 -0.1660
-5.4839 3.9456 7.6417
O Ba In W
18 6 4 2
direct
0.3286 0.0601 0.6572 O
0.8202 0.0903 0.1806 O
0.0193 0.7560 0.5121 O
0.4928 0.7560 0.5121 O
0.1798 0.9097 0.8194 O
0.3604 0.0903 0.1806 O
0.0000 0.7572 0.0000 O
0.6714 0.9399 0.3428 O
0.0000 0.2428 0.0000 O
0.1633 0.4129 0.8259 O
0.9807 0.2440 0.4879 O
0.5072 0.2440 0.4879 O
0.6714 0.4029 0.3428 O
0.3286 0.5971 0.6572 O
0.6626 0.4129 0.8259 O
0.6396 0.9097 0.8194 O
0.3374 0.5871 0.1741 O
0.8367 0.5871 0.1741 O
0.8384 0.5799 0.6769 Ba
0.5000 0.2664 0.0000 Ba
0.1616 0.9030 0.3231 Ba
0.1616 0.4201 0.3231 Ba
0.8384 0.0970 0.6769 Ba
0.5000 0.7336 0.0000 Ba
0.0000 0.0000 0.0000 In
0.3297 0.3297 0.6594 In
0.6703 0.6703 0.3406 In
0.0000 0.5000 0.0000 In
0.6669 0.1669 0.3338 W
0.3331 0.8331 0.6662 W
```


two | Material: Ba3In2WO9
Method: DFT, SCAN
State: single point on PBEsol structure

```
Ba3In2WO9
1.0
5.8845 0.0000 0.0000
-2.9422 5.0961 0.0000
0.0000 0.0000 7.2086
O In Ba W
9 2 3 1
direct
0.1557 0.3114 0.8473 O
0.3114 0.1557 0.1527 O
0.8443 0.6886 0.1527 O
0.5000 0.0000 0.5000 O
0.0000 0.5000 0.5000 O
0.8443 0.1557 0.1527 O
0.6886 0.8443 0.8473 O
0.1557 0.8443 0.8473 O
0.5000 0.5000 0.5000 O
0.6667 0.3333 0.3316 In
0.3333 0.6667 0.6684 In
0.0000 0.0000 0.5000 Ba
0.6667 0.3333 0.8119 Ba
0.3333 0.6667 0.1881 Ba
0.0000 0.0000 0.0000 W
```


Going by the energies, one is most stable and the next is 10 meV per atom up.